GdAgSnS3 | OQMD | PBE | optimized geometry; space group = Cmcm, No. 63; offset from the most stable computed form = 5.1 kJ per mole of atoms
1.0
2.0059 -6.5330 0.0000
2.0059 6.5330 0.0000
0.0000 0.0000 10.4356
Gd Ag Sn S
2 2 2 6
Cartesian
0.0000 0.0000 0.0000 Gd
0.0000 0.0000 5.2178 Gd
2.0059 0.4191 7.8267 Ag
2.0059 -0.4191 2.6089 Ag
2.0059 3.2933 2.6089 Sn
2.0059 -3.2933 7.8267 Sn
2.0059 5.3115 7.8267 S
2.0059 1.8628 5.7981 S
2.0059 1.8628 9.8553 S
2.0059 -1.8628 0.5803 S
2.0059 -1.8628 4.6375 S
2.0059 -5.3115 2.6089 S

Co | OQMD | PBE | optimized geometry; ΔH_f (0 K) = 16 kJ per mole of atoms; space group = P6_3/mmc, No. 194; offset from the most stable computed form = 16.4 kJ per mole of atoms
1.0
4.6057 0.0000 0.0000
-2.3028 3.9886 0.0000
0.0000 0.0000 7.3530
Co
12
Cartesian
0.0000 0.0000 0.0000 Co
0.0000 0.0000 3.6765 Co
0.0000 1.3797 1.8383 Co
-1.1080 3.2988 1.8383 Co
0.0000 2.6591 4.1968 Co
0.0000 2.6591 6.8327 Co
1.1949 0.6899 5.5148 Co
1.1080 3.2988 1.8383 Co
2.3028 1.3295 0.5203 Co
2.3028 1.3295 3.1562 Co
3.4108 0.6899 5.5148 Co
2.3028 2.6089 5.5148 Co

RbSmGaTe3 | OQMD | PBE | optimized geometry; space group = Pnma, No. 62; offset from the most stable computed form = 1.3 kJ per mole of atoms
1.0
12.3945 0.0000 0.0000
0.0000 5.0586 0.0000
0.0000 0.0000 13.3919
Rb Sm Ga Te
4 4 4 12
Cartesian
2.2901 1.2647 0.0882 Rb
3.9072 3.7940 6.7842 Rb
8.4873 1.2647 6.6077 Rb
10.1045 3.7940 13.3036 Rb
0.2698 1.2647 4.3169 Sm
5.9274 3.7940 11.0129 Sm
6.4671 1.2647 2.3790 Sm
12.1247 3.7940 9.0749 Sm
3.0016 1.2647 9.6253 Ga
3.1957 3.7940 2.9294 Ga
9.1988 1.2647 10.4625 Ga
9.3930 3.7940 3.7666 Ga
0.5588 3.7940 2.2728 Te
1.1411 1.2647 7.5188 Te
2.6731 3.7940 10.6560 Te
3.5242 1.2647 3.9601 Te
5.0562 3.7940 0.8229 Te
5.6384 1.2647 8.9687 Te
6.7561 3.7940 4.4231 Te
7.3383 1.2647 12.5690 Te
8.8703 3.7940 9.4318 Te
9.7214 1.2647 2.7359 Te
11.2534 3.7940 5.8731 Te
11.8357 1.2647 11.1191 Te

TbZrNi | OQMD | PBE | optimized geometry; ΔH_f (0 K) = 3 kJ per mole of atoms; space group = F-43m, No. 216
1.0
6.4807 0.0000 0.0000
0.0000 6.4807 0.0000
0.0000 0.0000 6.4807
Tb Zr Ni
4 4 4
Cartesian
0.0000 0.0000 0.0000 Tb
0.0000 3.2403 3.2403 Tb
3.2403 0.0000 3.2403 Tb
3.2403 3.2403 0.0000 Tb
0.0000 0.0000 3.2403 Zr
0.0000 3.2403 0.0000 Zr
3.2403 0.0000 0.0000 Zr
3.2403 3.2403 3.2403 Zr
1.6202 1.6202 1.6202 Ni
1.6202 4.8605 4.8605 Ni
4.8605 1.6202 4.8605 Ni
4.8605 4.8605 1.6202 Ni

TcSb | OQMD | PBE | optimized geometry; space group = F-43m, No. 216; offset from the most stable computed form = 76.5 kJ per mole of atoms
1.0
5.9687 0.0000 0.0000
0.0000 5.9687 0.0000
0.0000 0.0000 5.9687
Tc Sb
4 4
Cartesian
0.0000 0.0000 0.0000 Tc
0.0000 2.9844 2.9844 Tc
2.9844 0.0000 2.9844 Tc
2.9844 2.9844 0.0000 Tc
1.4922 1.4922 1.4922 Sb
1.4922 4.4765 4.4765 Sb
4.4765 1.4922 4.4765 Sb
4.4765 4.4765 1.4922 Sb

ErAs2O | OQMD | PBE | optimized geometry; space group = P4/nmm, No. 129; offset from the most stable computed form = 99.4 kJ per mole of atoms
1.0
4.6775 0.0000 0.0000
0.0000 4.6775 0.0000
0.0000 0.0000 7.1129
Er As O
2 4 2
Cartesian
1.1694 3.5081 0.0000 Er
3.5081 1.1694 0.0000 Er
1.1694 1.1694 1.4298 As
1.1694 1.1694 3.9297 As
3.5081 3.5081 3.1831 As
3.5081 3.5081 5.6831 As
1.1694 3.5081 3.5564 O
3.5081 1.1694 3.5564 O

CuAg4 | OQMD | PBE | optimized geometry; ΔH_f (0 K) = 5 kJ per mole of atoms; space group = C2/m, No. 12; offset from the most stable computed form = 2.9 kJ per mole of atoms
1.0
9.9470 -1.4608 0.0000
9.9470 1.4608 0.0000
-0.8558 0.0000 5.7979
Cu Ag
2 8
Cartesian
1.9332 0.0000 0.2905 Cu
17.1050 0.0000 5.5074 Cu
1.4748 0.0000 3.1763 Ag
5.4523 0.0000 3.8156 Ag
5.9242 0.0000 0.8386 Ag
9.7456 0.0000 1.3640 Ag
9.2925 0.0000 4.4338 Ag
13.1139 0.0000 4.9592 Ag
13.5858 0.0000 1.9823 Ag
17.5633 0.0000 2.6216 Ag

Nd3Sm2Sn3 | OQMD | PBE | optimized geometry; space group = P6_3/mcm, No. 193
1.0
9.2511 0.0000 0.0000
-4.6256 8.0117 0.0000
0.0000 0.0000 6.7811
Nd Sm Sn
6 4 6
Cartesian
-1.1199 1.9398 1.6953 Nd
-3.5056 6.0719 5.0858 Nd
2.2399 0.0000 1.6953 Nd
1.1199 1.9398 5.0858 Nd
7.0113 0.0000 5.0858 Nd
3.5056 6.0719 1.6953 Nd
0.0000 5.3411 0.0000 Sm
0.0000 5.3411 3.3905 Sm
4.6256 2.6706 0.0000 Sm
4.6256 2.6706 3.3905 Sm
-1.8286 3.1673 5.0858 Sn
-2.7969 4.8444 1.6953 Sn
3.6573 0.0000 5.0858 Sn
1.8286 3.1673 1.6953 Sn
5.5938 0.0000 1.6953 Sn
2.7969 4.8444 5.0858 Sn

Y2ErCu4Si4 | OQMD | PBE | optimized geometry; space group = Immm, No. 71
1.0
-2.0585 3.2560 6.8099
2.0585 -3.2560 6.8099
2.0585 3.2560 -6.8099
Y Er Cu Si
2 1 4 4
Cartesian
0.0000 0.0000 1.7568 Y
0.0000 0.0000 11.8629 Y
0.0000 3.2560 0.0000 Er
2.0585 2.0153 -2.3045 Cu
2.0585 2.0153 2.3045 Cu
0.0000 1.2407 4.5053 Cu
0.0000 1.2407 9.1144 Cu
2.0585 1.2130 0.0000 Si
2.0585 0.0000 3.8670 Si
0.0000 3.2560 2.9428 Si
0.0000 2.0430 6.8099 Si

GdTmSi2Mo2C | OQMD | PBE | optimized geometry; space group = Cm, No. 8
1.0
11.1419 0.0000 0.0000
0.0000 3.8068 0.0000
-4.1575 0.0000 5.8003
Gd Tm Si Mo C
2 2 4 4 2
Cartesian
0.0000 0.0000 0.0000 Gd
5.5709 1.9034 0.0000 Gd
-0.7903 0.0000 3.4274 Tm
4.7807 1.9034 3.4274 Tm
-1.6856 1.9034 5.5631 Si
2.3241 0.0000 3.6696 Si
3.8854 0.0000 5.5631 Si
7.8951 1.9034 3.6696 Si
1.5506 1.9034 2.2192 Mo
3.2373 0.0000 1.2394 Mo
7.1215 0.0000 2.2192 Mo
8.8082 1.9034 1.2394 Mo
-0.3956 1.9034 1.7542 C
5.1753 0.0000 1.7542 C

La21Fe8Sn7C12 | OQMD | PBE | optimized geometry; space group = Fm-3m, No. 225
1.0
0.0000 8.2334 8.2334
8.2334 0.0000 8.2334
8.2334 8.2334 0.0000
La Fe Sn C
21 8 7 12
Cartesian
0.0000 0.0000 0.0000 La
2.2267 2.2267 2.2267 La
6.0067 6.0067 2.2267 La
6.0067 2.2267 6.0067 La
8.2334 5.4401 5.4401 La
11.0267 8.2334 5.4401 La
11.0267 5.4401 8.2334 La
14.2401 10.4601 10.4601 La
5.4401 8.2334 5.4401 La
8.2334 11.0267 5.4401 La
5.4401 5.4401 8.2334 La
11.0267 11.0267 8.2334 La
8.2334 5.4401 11.0267 La
11.0267 8.2334 11.0267 La
2.2267 6.0067 6.0067 La
5.4401 11.0267 8.2334 La
5.4401 8.2334 11.0267 La
8.2334 11.0267 11.0267 La
10.4601 14.2401 10.4601 La
10.4601 10.4601 14.2401 La
14.2401 14.2401 14.2401 La
4.9995 3.2339 3.2339 Fe
3.2339 4.9995 3.2339 Fe
3.2339 3.2339 4.9995 Fe
4.9995 4.9995 4.9995 Fe
11.4673 11.4673 11.4673 Fe
13.2328 13.2328 11.4673 Fe
13.2328 11.4673 13.2328 Fe
11.4673 13.2328 13.2328 Fe
8.2334 8.2334 3.4649 Sn
8.2334 3.4649 8.2334 Sn
13.0019 8.2334 8.2334 Sn
8.2334 8.2334 8.2334 Sn
3.4649 8.2334 8.2334 Sn
8.2334 13.0019 8.2334 Sn
8.2334 8.2334 13.0019 Sn
4.1167 4.1167 1.8100 C
4.1167 1.8100 4.1167 C
6.4234 4.1167 4.1167 C
1.8100 4.1167 4.1167 C
4.1167 6.4234 4.1167 C
4.1167 4.1167 6.4234 C
12.3501 12.3501 10.0434 C
12.3501 10.0434 12.3501 C
14.6568 12.3501 12.3501 C
10.0434 12.3501 12.3501 C
12.3501 14.6568 12.3501 C
12.3501 12.3501 14.6568 C

TbScGa | OQMD | PBE | optimized geometry; space group = F-43m, No. 216; offset from the most stable computed form = 0.0 kJ per mole of atoms
1.0
6.8086 0.0000 0.0000
0.0000 6.8086 0.0000
0.0000 0.0000 6.8086
Tb Sc Ga
4 4 4
Cartesian
0.0000 0.0000 0.0000 Tb
0.0000 3.4043 3.4043 Tb
3.4043 0.0000 3.4043 Tb
3.4043 3.4043 0.0000 Tb
0.0000 0.0000 3.4043 Sc
0.0000 3.4043 0.0000 Sc
3.4043 0.0000 0.0000 Sc
3.4043 3.4043 3.4043 Sc
1.7022 1.7022 5.1065 Ga
1.7022 5.1065 1.7022 Ga
5.1065 1.7022 1.7022 Ga
5.1065 5.1065 5.1065 Ga

GdAgSeO | OQMD | PBE | optimized geometry; space group = P2_1, No. 4
1.0
5.7661 0.0000 0.0000
0.0000 5.7667 0.0000
-0.4475 0.0000 11.2482
Gd Ag Se O
4 4 4 4
Cartesian
-0.0095 0.0000 1.0592 Gd
2.4388 0.0036 10.1844 Gd
2.8798 2.8869 1.0638 Gd
5.3282 2.8833 10.1890 Gd
0.8742 1.5929 5.5819 Ag
2.7447 0.1245 3.2819 Ag
2.5740 3.0079 7.9663 Ag
4.4445 4.4762 5.6664 Ag
0.9976 1.8605 3.1268 Se
0.8266 1.2791 8.0332 Se
4.4920 4.1624 3.2150 Se
4.3211 4.7438 8.1214 Se
1.4403 4.3214 0.0024 O
1.0063 1.4344 11.2400 O
4.3124 4.3177 0.0082 O
3.8784 1.4381 11.2458 O

Cu3P4S3Br3 | OQMD | PBE | optimized geometry; space group = Pnma, No. 62
1.0
18.8860 0.0000 0.0000
0.0000 9.8980 0.0000
0.0000 0.0000 6.6321
Cu P S Br
12 16 12 12
Cartesian
2.5054 2.4745 0.0300 Cu
3.4540 0.1826 3.3893 Cu
3.4540 4.7664 3.3893 Cu
5.9890 5.1316 0.0733 Cu
5.9890 9.7154 0.0733 Cu
6.9376 7.4235 3.3460 Cu
11.9484 2.4745 3.2861 Cu
12.8970 0.1826 6.5588 Cu
12.8970 4.7664 6.5588 Cu
15.4320 5.1316 3.2428 Cu
15.4320 9.7154 3.2428 Cu
16.3806 7.4235 6.6021 Cu
0.4130 2.4745 0.6658 P
2.1509 6.2807 4.3241 P
2.1509 8.5663 4.3241 P
2.8652 7.4235 6.1325 P
6.5777 2.4745 2.8164 P
7.2921 1.3317 1.0080 P
7.2921 3.6173 1.0080 P
9.0300 7.4235 3.9819 P
9.8560 2.4745 2.6502 P
11.5939 6.2807 5.6241 P
11.5939 8.5663 5.6241 P
12.3082 7.4235 3.8157 P
16.0207 2.4745 0.4996 P
16.7351 1.3317 2.3080 P
16.7351 3.6173 2.3080 P
18.4730 7.4235 5.9663 P
0.1538 5.7951 4.7431 S
0.1538 9.0519 4.7431 S
1.1781 7.4235 0.7425 S
8.2649 2.4745 4.0586 S
9.2892 0.8461 1.4271 S
9.2892 4.1029 1.4271 S
9.5968 5.7951 5.2050 S
9.5968 9.0519 5.2050 S
10.6210 7.4235 2.5735 S
17.7079 2.4745 5.8896 S
18.7322 0.8461 1.8890 S
18.7322 4.1029 1.8890 S
2.8653 2.4745 4.2347 Br
3.7026 0.4740 0.9540 Br
3.7026 4.4750 0.9540 Br
5.7404 5.4230 4.2700 Br
5.7404 9.4240 4.2700 Br
6.5776 7.4235 0.9186 Br
12.3083 2.4745 5.7135 Br
13.1456 0.4740 2.3621 Br
13.1456 4.4750 2.3621 Br
15.1834 5.4230 5.6781 Br
15.1834 9.4240 5.6781 Br
16.0206 7.4235 2.3974 Br

Ta2Te | OQMD | PBE | optimized geometry; space group = Fd-3m, No. 227
1.0
0.0000 3.9793 3.9793
3.9793 0.0000 3.9793
3.9793 3.9793 0.0000
Ta Te
4 2
Cartesian
0.0000 0.0000 0.0000 Ta
1.9896 1.9896 0.0000 Ta
1.9896 0.0000 1.9896 Ta
0.0000 1.9896 1.9896 Ta
2.9844 2.9844 2.9844 Te
4.9741 4.9741 4.9741 Te

Tb5TlZn4 | OQMD | PBE | optimized geometry; space group = P4/mmm, No. 123
1.0
3.5958 0.0000 0.0000
0.0000 3.5958 0.0000
0.0000 0.0000 18.4023
Tb Tl Zn
5 1 4
Cartesian
0.0000 0.0000 0.0000 Tb
0.0000 0.0000 3.5465 Tb
0.0000 0.0000 7.0748 Tb
0.0000 0.0000 11.3275 Tb
0.0000 0.0000 14.8558 Tb
1.7979 1.7979 9.2012 Tl
1.7979 1.7979 1.7935 Zn
1.7979 1.7979 5.3016 Zn
1.7979 1.7979 13.1007 Zn
1.7979 1.7979 16.6088 Zn

Rb2LaDyO4 | OQMD | PBE | optimized geometry; space group = P-3m1, No. 164
1.0
3.5850 0.0000 0.0000
-1.7925 3.1047 0.0000
0.0000 0.0000 12.9620
Rb La Dy O
2 1 1 4
Cartesian
0.0000 2.0698 3.1654 Rb
1.7925 1.0349 9.7966 Rb
0.0000 0.0000 6.4810 La
0.0000 0.0000 0.0000 Dy
0.0000 2.0698 7.7263 O
0.0000 2.0698 11.8513 O
1.7925 1.0349 1.1107 O
1.7925 1.0349 5.2357 O

LaGdBe2Ge2 | OQMD | PBE | optimized geometry; space group = P-3m1, No. 164
1.0
3.9880 0.0000 0.0000
-1.9940 3.4537 0.0000
0.0000 0.0000 8.5191
La Gd Be Ge
1 1 2 2
Cartesian
0.0000 0.0000 0.0000 La
0.0000 0.0000 4.2596 Gd
0.0000 2.3025 6.3022 Be
1.9940 1.1512 2.2169 Be
0.0000 2.3025 2.2353 Ge
1.9940 1.1512 6.2839 Ge

CdNi | OQMD | PBE | optimized geometry; ΔH_f (0 K) = 41 kJ per mole of atoms; space group = P6_3/mmc, No. 194
1.0
3.6428 0.0000 0.0000
-1.8214 3.1548 0.0000
0.0000 0.0000 6.0121
Cd Ni
2 2
Cartesian
0.0000 0.0000 0.0000 Cd
0.0000 0.0000 3.0061 Cd
0.0000 2.1032 1.5030 Ni
1.8214 1.0516 4.5091 Ni

| no. | uncorrected energy (eV per atom) |
| --- | --- |
| 1 | -4.9235 |
| 2 | -6.9363 |
| 3 | -3.9693 |
| 4 | -6.2162 |
| 5 | -6.3396 |
| 6 | -5.1203 |
| 7 | -2.9480 |
| 8 | -5.1733 |
| 9 | -5.5497 |
| 10 | -7.8616 |
| 11 | -6.8879 |
| 12 | -4.9093 |
| 13 | -5.8515 |
| 14 | -4.1178 |
| 15 | -8.3939 |
| 16 | -3.4072 |
| 17 | -6.5347 |
| 18 | -5.0265 |
| 19 | -2.8077 |